The following is a DFT calculation (PBE) of a relaxed Ba4InAg crystal.

```
Ba4InAg
1.0
7.829 0.114 0.000
-1.871 9.122 0.000
-2.979 -4.618 8.007
Ba In Ag
8 2 2
Cartesian
-2.964 -1.854 7.080 Ba
2.968 3.465 5.098 Ba
-0.951 1.797 7.080 Ba
-0.925 5.715 5.098 Ba
3.903 -1.096 2.909 Ba
3.929 2.821 0.927 Ba
0.011 1.153 2.909 Ba
5.942 6.472 0.927 Ba
1.022 4.590 2.160 In
1.957 0.029 5.848 In
-2.893 4.533 8.003 Ag
5.871 0.086 0.005 Ag
```

The following is a DFT calculation (PBE) of a relaxed BaInAg2 crystal.

```
BaInAg2
1.0
3.733 0.000 0.000
0.000 3.733 0.000
0.000 0.000 7.742
Ba Ag In
1 2 1
Cartesian
0.000 0.000 3.775 Ba
0.000 0.000 0.051 Ag
1.867 1.867 1.465 Ag
1.867 1.867 6.322 In
```

The following is a DFT calculation (PBE) of a relaxed Ba2In7Ag crystal.

```
Ba2In7Ag
1.0
-1.490 -0.552 4.679
2.003 -4.516 0.105
10.600 4.794 3.941
Ba In Ag
2 7 1
Cartesian
7.242 3.336 5.309 Ba
3.614 -1.077 1.024 Ba
10.255 1.927 3.493 In
3.081 1.455 3.762 In
0.601 0.333 2.840 In
7.775 0.805 2.571 In
5.300 2.397 1.971 In
0.000 0.000 0.000 In
5.557 -0.137 4.363 In
0.257 -2.534 2.392 Ag
```

The following is a DFT calculation (PBE) of a relaxed Ba2In2Ag7 crystal.

```
Ba2In2Ag7
1.0
-3.824 0.426 -3.222
8.664 -0.675 -2.903
4.927 -7.701 0.603
Ba In Ag
2 2 7
Cartesian
5.747 -2.350 -3.572 Ba
4.020 -5.600 -1.950 Ba
0.155 -1.360 -2.561 In
9.612 -6.590 -2.961 In
2.966 -0.657 -1.851 Ag
8.081 -4.886 -4.872 Ag
6.801 -7.293 -3.671 Ag
1.686 -3.064 -0.650 Ag
7.479 -4.988 -2.024 Ag
0.000 0.000 0.000 Ag
2.288 -2.962 -3.498 Ag
```

The following is a DFT calculation (PBE) of a relaxed Ba8In3Ag2 crystal.

```
Ba8In3Ag2
1.0
-1.976 -0.110 5.528
-6.621 -9.402 -2.554
9.795 -0.467 3.493
Ba In Ag
8 3 2
Cartesian
-1.719 -5.970 -0.733 Ba
2.916 -4.009 7.199 Ba
1.653 -1.318 0.565 Ba
1.520 -8.552 0.374 Ba
2.194 -6.314 3.777 Ba
5.552 -1.545 5.073 Ba
-4.355 -8.434 1.394 Ba
-0.997 -3.665 2.689 Ba
-0.988 -0.055 2.764 In
-1.629 -2.313 -0.628 In
-4.993 -7.090 -1.926 In
2.294 -2.671 3.885 Ag
-1.097 -7.308 2.581 Ag
```

The following is a DFT calculation (PBE) of a relaxed BaInAg crystal.

```
BaInAg
1.0
4.816 0.008 0.005
0.004 6.131 -1.099
2.411 1.955 6.193
Ba In Ag
2 2 2
Cartesian
0.665 3.139 -0.001 Ba
3.065 2.101 3.701 Ba
3.073 6.113 -0.861 In
5.477 5.266 3.467 In
5.477 6.346 0.697 Ag
3.073 5.033 1.909 Ag
```

The following is a DFT calculation (PBE) of a relaxed Ba2In7Ag12 crystal.

```
Ba2In7Ag12
1.0
-2.100 -3.482 -2.320
9.712 -3.292 -3.850
-3.789 -4.017 9.460
Ba In Ag
2 7 12
Cartesian
-1.050 -1.741 -1.160 Ba
5.211 -3.534 0.587 Ba
0.711 -3.776 5.023 In
-1.774 -3.856 7.393 In
3.515 -5.723 5.408 In
0.393 -1.748 2.268 In
2.988 -6.327 2.068 In
6.901 -6.279 -1.547 In
2.595 -3.219 -2.241 In
5.577 -7.168 0.988 Ag
5.272 -4.327 -3.001 Ag
1.636 -4.329 0.293 Ag
-1.688 -5.424 4.946 Ag
0.994 -6.562 4.227 Ag
-0.322 -4.563 2.417 Ag
-1.722 -2.244 4.928 Ag
1.209 -5.548 7.233 Ag
2.646 -3.534 2.909 Ag
5.516 -5.598 3.409 Ag
7.763 -3.467 -1.823 Ag
2.356 -1.537 0.174 Ag
```

The following is a DFT calculation (PBE) of a relaxed BaIn3Ag3 crystal.

```
BaIn3Ag3
1.0
-1.075 -3.590 -2.890
-0.207 -5.936 7.452
-7.957 4.550 -2.694
Ba In Ag
2 6 6
Cartesian
-6.186 -1.637 -1.477 Ba
-3.053 -3.339 3.346 Ba
-1.282 -7.124 3.516 In
-2.645 -3.233 -0.811 In
-6.867 -5.043 3.007 In
-7.956 2.149 -1.648 In
-6.593 -1.743 2.679 In
-2.371 0.067 -1.139 In
-4.129 -6.526 3.831 Ag
-1.320 -5.095 1.009 Ag
-5.336 -3.778 0.866 Ag
-5.109 1.550 -1.962 Ag
-7.918 0.119 0.859 Ag
-3.902 -1.198 1.002 Ag
```

The records above yield size of the total moment values of 0.1; 0.0; 0.0; 0.0; 0.0; 0.0; 0.0; 0.0 μB per cell, respectively.
The records above yield formation energy from the elements values of -1.22; -0.42; -3.40; -1.62; -3.00; -1.00; -3.12; -0.70 eV per formula unit, respectively.